[1]
{
  "formula": "Er4Tm3Pb",
  "functional": "PBE-GGA",
  "state": "relaxed",
  "e_form_ev_per_fu": -0.7,
  "vol_a3_per_cell": 236.2,
  "lattice": [[-2.789, -2.408, -5.872], [6.797, -0.657, 1.194], [0.196, -2.933, 7.152]],
  "species": ["Pb", "Tm", "Tm", "Tm", "Er", "Er", "Er", "Er"],
  "frac_coords": [[0.000, 0.000, 0.000], [0.500, 0.500, 0.000], [0.751, 0.251, 0.500], [0.249, 0.749, 0.500], [0.000, 0.500, 0.000], [0.500, 0.000, 0.000], [0.236, 0.248, 0.485], [0.764, 0.752, 0.515]]
}

[2]
{
  "formula": "Nd2SmDyHo6",
  "functional": "PBE-GGA",
  "state": "relaxed",
  "e_form_ev_per_fu": 1.2,
  "vol_a3_per_cell": 650.4,
  "lattice": [[-9.467, -0.145, 2.133], [0.759, -8.724, -0.428], [2.340, 3.979, 7.454]],
  "species": ["Nd", "Nd", "Nd", "Nd", "Sm", "Sm", "Dy", "Dy", "Ho", "Ho", "Ho", "Ho", "Ho", "Ho", "Ho", "Ho", "Ho", "Ho", "Ho", "Ho"],
  "frac_coords": [[0.457, 0.807, 0.704], [0.043, 0.296, 0.193], [0.543, 0.193, 0.296], [0.957, 0.704, 0.807], [0.250, 0.982, 0.018], [0.750, 0.018, 0.982], [0.250, 0.407, 0.593], [0.750, 0.593, 0.407], [0.057, 0.123, 0.741], [0.443, 0.259, 0.877], [0.943, 0.877, 0.259], [0.557, 0.741, 0.123], [0.314, 0.978, 0.426], [0.186, 0.574, 0.022], [0.686, 0.022, 0.574], [0.814, 0.426, 0.978], [0.119, 0.706, 0.494], [0.381, 0.506, 0.294], [0.881, 0.294, 0.506], [0.619, 0.494, 0.706]]
}

[3]
{
  "formula": "Pr6NdMg",
  "functional": "PBE-GGA",
  "state": "relaxed",
  "e_form_ev_per_fu": 0.5,
  "vol_a3_per_cell": 275.8,
  "lattice": [[5.662, -4.681, 5.035], [2.139, 2.147, 8.374], [-7.082, -1.064, -5.294]],
  "species": ["Pr", "Pr", "Pr", "Pr", "Pr", "Pr", "Nd", "Mg"],
  "frac_coords": [[0.256, 0.256, 0.000], [0.885, 0.385, 0.500], [0.385, 0.885, 0.500], [0.115, 0.615, 0.500], [0.744, 0.744, 0.000], [0.615, 0.115, 0.500], [0.500, 0.500, 0.000], [0.000, 0.000, 0.000]]
}

[4]
{
  "formula": "BaZn2InNi",
  "functional": "PBE-GGA",
  "state": "relaxed",
  "e_form_ev_per_fu": -1.0,
  "vol_a3_per_cell": 118.2,
  "lattice": [[4.877, 0.000, 0.000], [0.000, 4.877, 0.000], [0.000, 0.000, 4.970]],
  "species": ["Ni", "Zn", "Zn", "Ba", "In"],
  "frac_coords": [[0.000, 0.000, 0.000], [0.000, 0.500, 0.000], [0.500, 0.000, 0.000], [0.500, 0.500, 0.500], [0.000, 0.000, 0.500]]
}

[5]
{
  "formula": "Al4InPb",
  "functional": "PBE-GGA",
  "state": "relaxed",
  "e_form_ev_per_fu": 1.0,
  "vol_a3_per_cell": 128.3,
  "lattice": [[0.000, 4.003, 4.003], [4.003, 0.000, 4.003], [4.003, 4.003, 0.000]],
  "species": ["Al", "Al", "Al", "Al", "In", "Pb"],
  "frac_coords": [[0.875, 0.375, 0.375], [0.375, 0.375, 0.875], [0.375, 0.875, 0.375], [0.375, 0.375, 0.375], [0.750, 0.750, 0.750], [0.000, 0.000, 0.000]]
}

[6]
{
  "formula": "Zn2ReRu",
  "functional": "PBE-GGA",
  "state": "relaxed",
  "e_form_ev_per_fu": 1.4,
  "vol_a3_per_cell": 57.6,
  "lattice": [[4.906, 0.008, 0.000], [2.062, 4.452, 0.000], [-3.484, -2.230, 2.638]],
  "species": ["Re", "Ru", "Zn", "Zn"],
  "frac_coords": [[0.250, 0.750, 0.500], [0.750, 0.250, 0.500], [0.000, 0.000, 0.000], [0.500, 0.500, 0.000]]
}

[7]
{
  "formula": "Bi2Br2O",
  "functional": "PBE-GGA",
  "state": "relaxed",
  "e_form_raw_mev_per_atom": -480.3,
  "vol_a3_per_cell": 270.2,
  "lattice": [[-3.509, -5.999, 0.390], [5.870, -3.321, 1.726], [-1.042, 0.960, 5.393]],
  "species": ["O", "O", "Bi", "Bi", "Bi", "Bi", "Br", "Br", "Br", "Br"],
  "frac_coords": [[0.000, 0.000, 0.000], [0.500, 0.500, 0.000], [0.248, 0.748, 0.000], [0.748, 0.752, 0.000], [0.752, 0.252, 0.000], [0.252, 0.248, 0.000], [0.180, 0.680, 0.500], [0.680, 0.820, 0.500], [0.820, 0.320, 0.500], [0.320, 0.180, 0.500]]
}

[8]
{
  "formula": "La2CdFePb",
  "functional": "PBE-GGA",
  "state": "relaxed",
  "e_form_ev_per_fu": -0.9,
  "vol_a3_per_cell": 134.7,
  "lattice": [[5.090, 0.000, 0.000], [0.000, 5.090, 0.000], [0.000, 0.000, 5.200]],
  "species": ["Pb", "Cd", "Fe", "La", "La"],
  "frac_coords": [[0.500, 0.500, 0.500], [0.000, 0.000, 0.500], [0.000, 0.000, 0.000], [0.000, 0.500, 0.000], [0.500, 0.000, 0.000]]
}

[9]
{
  "formula": "CaErCd",
  "functional": "PBE-GGA",
  "state": "relaxed",
  "e_form_ev_per_fu": -0.5,
  "vol_a3_per_cell": 276.4,
  "lattice": [[-1.090, -3.050, -3.802], [0.074, -6.246, 4.990], [-6.793, 4.017, -1.276]],
  "species": ["Cd", "Cd", "Cd", "Ca", "Ca", "Ca", "Er", "Er", "Er"],
  "frac_coords": [[0.500, 0.667, 0.333], [0.500, 0.333, 0.667], [0.000, 0.000, 0.000], [0.000, 0.584, 0.584], [0.000, 0.000, 0.416], [0.000, 0.416, 0.000], [0.500, 0.000, 0.755], [0.500, 0.755, 0.000], [0.500, 0.245, 0.245]]
}

[10]
{
  "formula": "Tm2GaFe2Ru5",
  "functional": "PBE-GGA",
  "state": "relaxed",
  "e_form_ev_per_fu": -1.1,
  "vol_a3_per_cell": 319.5,
  "lattice": [[3.414, 0.000, 0.000], [0.000, 9.673, 0.000], [0.000, 0.000, 9.673]],
  "species": ["Tm", "Tm", "Tm", "Tm", "Ga", "Ga", "Fe", "Fe", "Fe", "Fe", "Ru", "Ru", "Ru", "Ru", "Ru", "Ru", "Ru", "Ru", "Ru", "Ru"],
  "frac_coords": [[0.000, 0.674, 0.174], [0.000, 0.326, 0.826], [0.000, 0.174, 0.326], [0.000, 0.826, 0.674], [0.000, 0.000, 0.000], [0.000, 0.500, 0.500], [0.000, 0.127, 0.627], [0.000, 0.873, 0.373], [0.000, 0.627, 0.873], [0.000, 0.373, 0.127], [0.500, 0.201, 0.063], [0.500, 0.799, 0.937], [0.500, 0.063, 0.799], [0.500, 0.701, 0.437], [0.500, 0.937, 0.201], [0.500, 0.299, 0.563], [0.500, 0.563, 0.701], [0.500, 0.437, 0.299], [0.500, 0.500, 0.000], [0.500, 0.000, 0.500]]
}

[11]
{
  "formula": "AlAg3Bi",
  "functional": "PBE-GGA",
  "state": "relaxed",
  "e_form_ev_per_fu": 3.6,
  "vol_a3_per_cell": 158.5,
  "lattice": [[-1.135, 0.869, -5.220], [-5.223, 0.670, 1.248], [0.847, 5.300, 0.698]],
  "species": ["Bi", "Ag", "Ag", "Ag", "Al"],
  "frac_coords": [[0.000, 0.000, 0.000], [0.000, 0.500, 0.000], [0.000, 0.000, 0.500], [0.500, 0.000, 0.000], [0.500, 0.500, 0.500]]
}

[12]
{
  "formula": "EuTmMgHg",
  "functional": "PBE-GGA",
  "state": "relaxed",
  "e_form_ev_per_fu": -1.0,
  "vol_a3_per_cell": 110.4,
  "lattice": [[5.385, 0.000, 0.000], [2.692, 4.663, 0.000], [2.692, 1.554, 4.397]],
  "species": ["Eu", "Mg", "Tm", "Hg"],
  "frac_coords": [[0.250, 0.250, 0.250], [0.500, 0.500, 0.500], [0.750, 0.750, 0.750], [0.000, 0.000, 0.000]]
}

[13]
{
  "formula": "CrIrBr2",
  "functional": "PBE-GGA",
  "state": "relaxed",
  "e_form_raw_mev_per_atom": 341.9,
  "vol_a3_per_cell": 80.3,
  "lattice": [[-0.178, -1.731, 2.413], [-1.547, -2.009, -1.556], [7.728, -4.108, -2.377]],
  "species": ["Br", "Br", "Cr", "Ir"],
  "frac_coords": [[0.000, 0.000, 0.925], [0.500, 0.500, 0.347], [0.000, 0.000, 0.531], [0.500, 0.500, 0.698]]
}

[14]
{
  "formula": "TcBOs2Br",
  "functional": "PBE-GGA",
  "state": "relaxed",
  "e_form_raw_mev_per_atom": 2733.7,
  "vol_a3_per_cell": 84.3,
  "lattice": [[-0.690, 3.805, -2.560], [-3.853, -0.715, -0.025], [-0.491, 2.512, 3.867]],
  "species": ["B", "Os", "Os", "Tc", "Br"],
  "frac_coords": [[0.000, 0.500, 0.000], [0.000, 0.000, 0.500], [0.500, 0.000, 0.000], [0.500, 0.500, 0.500], [0.000, 0.000, 0.000]]
}

[15]
{
  "formula": "TbCo3C",
  "functional": "PBE-GGA",
  "state": "relaxed",
  "e_form_ev_per_fu": 0.3,
  "vol_a3_per_cell": 125.1,
  "lattice": [[-1.182, 3.419, -3.298], [2.452, -0.559, -5.092], [-3.712, -1.619, -3.981]],
  "species": ["Tb", "Tb", "Co", "Co", "Co", "Co", "Co", "Co", "C", "C"],
  "frac_coords": [[0.500, 0.500, 0.500], [0.500, 0.000, 0.000], [0.146, 0.789, 0.918], [0.146, 0.418, 0.289], [0.854, 0.582, 0.711], [0.854, 0.211, 0.082], [0.500, 0.000, 0.500], [0.000, 0.000, 0.500], [0.946, 0.804, 0.304], [0.054, 0.196, 0.696]]
}

[16]
{
  "formula": "Dy2TmTeO8",
  "functional": "PBE-GGA",
  "state": "relaxed",
  "e_form_raw_mev_per_atom": -2528.5,
  "vol_a3_per_cell": 172.5,
  "lattice": [[5.033, -0.058, -0.003], [-0.035, 5.034, -0.006], [0.004, 0.008, 6.808]],
  "species": ["Dy", "Dy", "Tm", "Te", "O", "O", "O", "O", "O", "O", "O", "O"],
  "frac_coords": [[0.500, 0.500, 0.750], [0.500, 0.500, 0.250], [0.000, 0.000, 0.500], [0.000, 0.000, 0.000], [0.181, 0.818, 0.215], [0.724, 0.726, 0.000], [0.819, 0.182, 0.215], [0.819, 0.182, 0.785], [0.276, 0.274, 0.000], [0.181, 0.818, 0.785], [0.694, 0.695, 0.500], [0.306, 0.305, 0.500]]
}

[17]
{
  "formula": "V3CdCo",
  "functional": "PBE-GGA",
  "state": "relaxed",
  "e_form_ev_per_fu": 3.4,
  "vol_a3_per_cell": 83.1,
  "lattice": [[-0.761, -3.492, -2.503], [4.023, -1.471, 0.830], [-1.508, -2.163, 3.476]],
  "species": ["Cd", "Co", "V", "V", "V"],
  "frac_coords": [[0.500, 0.500, 0.500], [0.000, 0.000, 0.000], [0.000, 0.500, 0.000], [0.000, 0.000, 0.500], [0.500, 0.000, 0.000]]
}

[18]
{
  "formula": "Te2IrPt",
  "functional": "PBE-GGA",
  "state": "relaxed",
  "e_form_raw_mev_per_atom": 92.7,
  "vol_a3_per_cell": 110.8,
  "lattice": [[3.786, 0.000, 0.000], [0.000, 5.322, 0.036], [0.000, 5.210, 5.536]],
  "species": ["Ir", "Pt", "Te", "Te"],
  "frac_coords": [[0.500, 0.250, 0.250], [0.500, 0.750, 0.750], [0.000, 0.252, 0.007], [0.000, 0.248, 0.493]]
}

[19]
{
  "formula": "SmHfPa2P4",
  "functional": "PBE-GGA",
  "state": "relaxed",
  "e_form_ev_per_fu": -10.7,
  "vol_a3_per_cell": 171.5,
  "lattice": [[-0.312, -0.793, -3.853], [-6.552, -1.688, 0.878], [0.483, 6.599, -1.396]],
  "species": ["Sm", "Hf", "Pa", "Pa", "P", "P", "P", "P"],
  "frac_coords": [[0.500, 0.500, 0.000], [0.000, 0.000, 0.000], [0.500, 0.000, 0.500], [0.000, 0.500, 0.500], [0.500, 0.237, 0.241], [0.500, 0.763, 0.759], [0.000, 0.238, 0.751], [0.000, 0.762, 0.249]]
}

[20]
{
  "formula": "Zn2TcPt",
  "functional": "PBE-GGA",
  "state": "relaxed",
  "e_form_ev_per_fu": 1.4,
  "vol_a3_per_cell": 129.3,
  "lattice": [[6.971, 0.000, 0.000], [0.000, 6.971, 0.000], [3.486, 3.486, 2.662]],
  "species": ["Zn", "Zn", "Zn", "Zn", "Tc", "Tc", "Pt", "Pt"],
  "frac_coords": [[0.631, 0.125, 0.250], [0.119, 0.625, 0.250], [0.375, 0.369, 0.750], [0.875, 0.881, 0.750], [0.500, 0.500, 0.000], [0.250, 0.750, 0.500], [0.000, 0.000, 0.000], [0.750, 0.250, 0.500]]
}

[21]
{
  "formula": "CuNiOs",
  "functional": "PBE-GGA",
  "state": "relaxed",
  "e_form_ev_per_fu": 0.5,
  "vol_a3_per_cell": 149.8,
  "lattice": [[-0.501, -5.128, 0.663], [2.897, -0.569, -2.211], [5.029, 2.890, 5.847]],
  "species": ["Cu", "Cu", "Cu", "Cu", "Ni", "Ni", "Ni", "Ni", "Os", "Os", "Os", "Os"],
  "frac_coords": [[0.865, 0.000, 0.444], [0.865, 0.500, 0.944], [0.709, 0.000, 0.111], [0.709, 0.500, 0.611], [0.193, 0.000, 0.109], [0.193, 0.500, 0.609], [0.015, 0.000, 0.782], [0.015, 0.500, 0.282], [0.361, 0.000, 0.439], [0.361, 0.500, 0.939], [0.503, 0.000, 0.770], [0.503, 0.500, 0.270]]
}

[22]
{
  "formula": "MgAgBi2I",
  "functional": "PBE-GGA",
  "state": "relaxed",
  "e_form_raw_mev_per_atom": 459.6,
  "vol_a3_per_cell": 165.3,
  "lattice": [[-2.839, 2.564, -4.173], [-4.038, 0.643, 3.142], [2.083, 4.998, 1.654]],
  "species": ["I", "Mg", "Bi", "Bi", "Ag"],
  "frac_coords": [[0.500, 0.500, 0.500], [0.000, 0.000, 0.000], [0.000, 0.000, 0.500], [0.500, 0.000, 0.000], [0.000, 0.500, 0.000]]
}

[23]
{
  "formula": "NaLa2S3",
  "functional": "PBE-GGA",
  "state": "relaxed",
  "e_form_raw_mev_per_atom": -1943.4,
  "vol_a3_per_cell": 151.9,
  "lattice": [[4.145, 0.000, 0.000], [0.000, 5.840, 0.000], [-2.073, -2.920, 6.273]],
  "species": ["Na", "La", "La", "S", "S", "S"],
  "frac_coords": [[0.500, 0.500, 0.500], [0.837, 0.837, 0.174], [0.163, 0.163, 0.826], [0.830, 0.330, 0.159], [0.170, 0.670, 0.841], [0.500, 0.000, 0.500]]
}

[24]
{
  "formula": "TaPd8Au6",
  "functional": "PBE-GGA",
  "state": "relaxed",
  "e_form_ev_per_fu": -0.6,
  "vol_a3_per_cell": 259.6,
  "lattice": [[5.053, 0.000, 0.000], [0.000, 6.670, -3.851], [0.000, 0.000, 7.702]],
  "species": ["Ta", "Pd", "Pd", "Pd", "Pd", "Pd", "Pd", "Pd", "Pd", "Au", "Au", "Au", "Au", "Au", "Au"],
  "frac_coords": [[0.500, 0.000, 0.000], [0.803, 0.051, 0.274], [0.803, 0.726, 0.776], [0.803, 0.224, 0.949], [0.197, 0.949, 0.726], [0.197, 0.274, 0.224], [0.197, 0.776, 0.051], [0.802, 0.333, 0.667], [0.198, 0.667, 0.333], [0.702, 0.641, 0.103], [0.702, 0.897, 0.538], [0.702, 0.462, 0.359], [0.298, 0.359, 0.897], [0.298, 0.103, 0.462], [0.298, 0.538, 0.641]]
}